No. 1
# Al2SiNi2 | Alexandria | PBE | relaxed
data_Al2SiNi2
_cell_length_a 6.462
_cell_length_b 6.462
_cell_length_c 6.462
_cell_angle_alpha 148.75
_cell_angle_beta 148.75
_cell_angle_gamma 44.79
_symmetry_space_group_name_H-M 'P 1'
_symmetry_Int_Tables_number 1
_symmetry_space_group_name_Hall 'P 1'
loop_
_atom_site_label
_atom_site_type_symbol
_atom_site_fract_x
_atom_site_fract_y
_atom_site_fract_z
Al1 Al 0.391 0.391 0.000
Al2 Al 0.609 0.609 0.000
Ni1 Ni 0.250 0.750 0.500
Ni2 Ni 0.750 0.250 0.500
Si1 Si 0.000 0.000 0.000
# E_form (uncorrected) (kJ per mole of atoms): 2.9
# Size of the total moment (μB per atom): 0.000
# Relative energy among the computed polymorphs (eV/atom): 0.593

=====

No. 2
# AlSiNi2 | Alexandria | PBE | relaxed
data_AlSiNi2
_cell_length_a 4.390
_cell_length_b 4.484
_cell_length_c 9.801
_cell_angle_alpha 90.00
_cell_angle_beta 90.00
_cell_angle_gamma 90.00
_symmetry_space_group_name_H-M 'P 1'
_symmetry_Int_Tables_number 1
_symmetry_space_group_name_Hall 'P 1'
loop_
_atom_site_label
_atom_site_type_symbol
_atom_site_fract_x
_atom_site_fract_y
_atom_site_fract_z
Ni1 Ni 0.446 0.453 0.918
Ni2 Ni 0.947 0.546 0.573
Ni3 Ni 0.946 0.047 0.418
Ni4 Ni 0.447 0.454 0.427
Ni5 Ni 0.947 0.046 0.927
Ni6 Ni 0.447 0.954 0.073
Ni7 Ni 0.446 0.953 0.582
Ni8 Ni 0.946 0.547 0.082
Al1 Al 0.446 0.451 0.172
Al2 Al 0.946 0.549 0.828
Al3 Al 0.946 0.049 0.672
Al4 Al 0.446 0.951 0.328
Si1 Si 0.946 0.537 0.331
Si2 Si 0.446 0.463 0.669
Si3 Si 0.446 0.963 0.831
Si4 Si 0.946 0.037 0.169
# E_form (uncorrected) (kJ per mole of atoms): -46.4
# Size of the total moment (μB per atom): 0.000

=====

No. 3
# AlSiNi2 | Alexandria | PBE | relaxed
data_AlSiNi2
_cell_length_a 8.543
_cell_length_b 8.537
_cell_length_c 8.543
_cell_angle_alpha 32.78
_cell_angle_beta 32.77
_cell_angle_gamma 32.78
_symmetry_space_group_name_H-M 'P 1'
_symmetry_Int_Tables_number 1
_symmetry_space_group_name_Hall 'P 1'
loop_
_atom_site_label
_atom_site_type_symbol
_atom_site_fract_x
_atom_site_fract_y
_atom_site_fract_z
Ni1 Ni 0.918 0.412 0.413
Ni2 Ni 0.587 0.588 0.082
Ni3 Ni 0.413 0.412 0.918
Ni4 Ni 0.082 0.588 0.587
Ni5 Ni 0.413 0.917 0.413
Ni6 Ni 0.587 0.083 0.587
Al1 Al 0.666 0.666 0.666
Al2 Al 0.334 0.334 0.334
Al3 Al 0.500 0.500 0.500
Si1 Si 0.107 0.108 0.107
Si2 Si 0.000 0.000 0.000
Si3 Si 0.893 0.892 0.893
# E_form (uncorrected) (kJ per mole of atoms): -15.6
# Size of the total moment (μB per atom): 0.000

=====

No. 4
# AlSi3Ni3 | Alexandria | PBE | relaxed
data_AlSi3Ni3
_cell_length_a 6.803
_cell_length_b 6.804
_cell_length_c 4.359
_cell_angle_alpha 90.00
_cell_angle_beta 90.00
_cell_angle_gamma 119.98
_symmetry_space_group_name_H-M 'P 1'
_symmetry_Int_Tables_number 1
_symmetry_space_group_name_Hall 'P 1'
loop_
_atom_site_label
_atom_site_type_symbol
_atom_site_fract_x
_atom_site_fract_y
_atom_site_fract_z
Al1 Al 0.333 0.667 0.750
Al2 Al 0.667 0.333 0.250
Si1 Si 0.658 0.096 0.750
Si2 Si 0.904 0.562 0.750
Si3 Si 0.342 0.904 0.250
Si4 Si 0.096 0.438 0.250
Si5 Si 0.562 0.658 0.250
Si6 Si 0.438 0.342 0.750
Ni1 Ni 0.215 0.944 0.750
Ni2 Ni 0.944 0.729 0.250
Ni3 Ni 0.271 0.215 0.250
Ni4 Ni 0.056 0.271 0.750
Ni5 Ni 0.729 0.785 0.750
Ni6 Ni 0.785 0.056 0.250
# E_form (uncorrected) (kJ per mole of atoms): -21.4
# Size of the total moment (μB per atom): 0.000
# Relative energy among the computed polymorphs (eV/atom): 0.142

=====

No. 5
# AlSi2Ni4 | Alexandria | PBE | relaxed
data_AlSi2Ni4
_cell_length_a 3.744
_cell_length_b 5.882
_cell_length_c 9.123
_cell_angle_alpha 55.62
_cell_angle_beta 90.00
_cell_angle_gamma 90.00
_symmetry_space_group_name_H-M 'P 1'
_symmetry_Int_Tables_number 1
_symmetry_space_group_name_Hall 'P 1'
loop_
_atom_site_label
_atom_site_type_symbol
_atom_site_fract_x
_atom_site_fract_y
_atom_site_fract_z
Si1 Si 0.250 0.667 0.605
Si2 Si 0.250 0.674 0.099
Si3 Si 0.750 0.326 0.901
Si4 Si 0.750 0.333 0.395
Ni1 Ni 0.750 0.429 0.112
Ni2 Ni 0.750 0.404 0.619
Ni3 Ni 0.750 0.931 0.411
Ni4 Ni 0.750 0.856 0.141
Ni5 Ni 0.250 0.596 0.381
Ni6 Ni 0.250 0.571 0.888
Ni7 Ni 0.250 0.144 0.859
Ni8 Ni 0.250 0.069 0.589
Al1 Al 0.750 0.897 0.809
Al2 Al 0.250 0.103 0.191
# E_form (uncorrected) (kJ per mole of atoms): -51.1
# Size of the total moment (μB per atom): 0.000
# Relative energy among the computed polymorphs (eV/atom): 0.000

=====

No. 6
# AlSiNi2 | Alexandria | PBE | relaxed
data_AlSiNi2
_cell_length_a 4.116
_cell_length_b 4.116
_cell_length_c 4.637
_cell_angle_alpha 79.24
_cell_angle_beta 79.24
_cell_angle_gamma 38.53
_symmetry_space_group_name_H-M 'P 1'
_symmetry_Int_Tables_number 1
_symmetry_space_group_name_Hall 'P 1'
loop_
_atom_site_label
_atom_site_type_symbol
_atom_site_fract_x
_atom_site_fract_y
_atom_site_fract_z
Ni1 Ni 0.005 0.005 0.989
Ni2 Ni 0.495 0.495 0.511
Si1 Si 0.750 0.750 0.750
Al1 Al 0.250 0.250 0.250
# E_form (uncorrected) (kJ per mole of atoms): -38.8
# Size of the total moment (μB per atom): 0.000

=====

No. 7
# AlSiNi | Alexandria | PBE | relaxed
data_AlSiNi
_cell_length_a 3.845
_cell_length_b 3.845
_cell_length_c 19.831
_cell_angle_alpha 90.00
_cell_angle_beta 90.00
_cell_angle_gamma 120.00
_symmetry_space_group_name_H-M 'P 1'
_symmetry_Int_Tables_number 1
_symmetry_space_group_name_Hall 'P 1'
loop_
_atom_site_label
_atom_site_type_symbol
_atom_site_fract_x
_atom_site_fract_y
_atom_site_fract_z
Ni1 Ni 0.667 0.333 0.333
Ni2 Ni 0.000 0.000 0.000
Ni3 Ni 0.000 0.000 0.500
Ni4 Ni 0.333 0.667 0.167
Ni5 Ni 0.667 0.333 0.833
Ni6 Ni 0.333 0.667 0.667
Al1 Al 0.667 0.333 0.954
Al2 Al 0.667 0.333 0.712
Al3 Al 0.000 0.000 0.379
Al4 Al 0.000 0.000 0.621
Al5 Al 0.333 0.667 0.046
Al6 Al 0.333 0.667 0.288
Si1 Si 0.333 0.667 0.545
Si2 Si 0.000 0.000 0.878
Si3 Si 0.667 0.333 0.455
Si4 Si 0.000 0.000 0.122
Si5 Si 0.667 0.333 0.211
Si6 Si 0.333 0.667 0.789
# E_form (uncorrected) (kJ per mole of atoms): -43.7
# Size of the total moment (μB per atom): 0.000

=====

No. 8
# AlSiNi14 | Alexandria | PBE | relaxed
data_AlSiNi14
_cell_length_a 5.012
_cell_length_b 5.012
_cell_length_c 6.971
_cell_angle_alpha 90.00
_cell_angle_beta 90.00
_cell_angle_gamma 90.00
_symmetry_space_group_name_H-M 'P 1'
_symmetry_Int_Tables_number 1
_symmetry_space_group_name_Hall 'P 1'
loop_
_atom_site_label
_atom_site_type_symbol
_atom_site_fract_x
_atom_site_fract_y
_atom_site_fract_z
Ni1 Ni 0.122 0.122 0.750
Ni2 Ni 0.375 0.375 0.000
Ni3 Ni 0.122 0.628 0.750
Ni4 Ni 0.875 0.375 0.500
Ni5 Ni 0.122 0.122 0.250
Ni6 Ni 0.875 0.375 0.000
Ni7 Ni 0.628 0.628 0.250
Ni8 Ni 0.628 0.122 0.250
Ni9 Ni 0.875 0.875 0.000
Ni10 Ni 0.628 0.122 0.750
Ni11 Ni 0.375 0.875 0.500
Ni12 Ni 0.628 0.628 0.750
Ni13 Ni 0.375 0.875 0.000
Ni14 Ni 0.122 0.628 0.250
Al1 Al 0.375 0.375 0.500
Si1 Si 0.875 0.875 0.500
# E_form (uncorrected) (kJ per mole of atoms): -19.0
# Size of the total moment (μB per atom): 0.311

=====

No. 9
# AlSiNi | Alexandria | PBE | relaxed
data_AlSiNi
_cell_length_a 2.652
_cell_length_b 4.154
_cell_length_c 15.503
_cell_angle_alpha 90.00
_cell_angle_beta 90.00
_cell_angle_gamma 90.00
_symmetry_space_group_name_H-M 'P 1'
_symmetry_Int_Tables_number 1
_symmetry_space_group_name_Hall 'P 1'
loop_
_atom_site_label
_atom_site_type_symbol
_atom_site_fract_x
_atom_site_fract_y
_atom_site_fract_z
Al1 Al 0.001 0.750 0.158
Al2 Al 0.999 0.250 0.658
Al3 Al 0.999 0.250 0.842
Al4 Al 0.001 0.750 0.342
Si1 Si 0.001 0.250 0.458
Si2 Si 0.001 0.250 0.042
Si3 Si 0.999 0.750 0.958
Si4 Si 0.999 0.750 0.542
Ni1 Ni 0.501 0.250 0.164
Ni2 Ni 0.499 0.750 0.664
Ni3 Ni 0.499 0.750 0.836
Ni4 Ni 0.501 0.250 0.336
# E_form (uncorrected) (kJ per mole of atoms): -22.0
# Size of the total moment (μB per atom): 0.000

=====

No. 10
# Al2Si3Ni3 | Alexandria | PBE | relaxed
data_Al2Si3Ni3
_cell_length_a 7.526
_cell_length_b 6.602
_cell_length_c 4.436
_cell_angle_alpha 83.53
_cell_angle_beta 78.93
_cell_angle_gamma 74.90
_symmetry_space_group_name_H-M 'P 1'
_symmetry_Int_Tables_number 1
_symmetry_space_group_name_Hall 'P 1'
loop_
_atom_site_label
_atom_site_type_symbol
_atom_site_fract_x
_atom_site_fract_y
_atom_site_fract_z
Al1 Al 0.370 0.274 0.749
Al2 Al 0.873 0.713 0.640
Al3 Al 0.127 0.287 0.360
Al4 Al 0.630 0.726 0.251
Ni1 Ni 0.650 0.484 0.784
Ni2 Ni 0.469 0.111 0.229
Ni3 Ni 0.350 0.516 0.216
Ni4 Ni 0.531 0.889 0.771
Ni5 Ni 0.929 0.042 0.266
Ni6 Ni 0.071 0.958 0.734
Si1 Si 0.740 0.103 0.795
Si2 Si 0.260 0.897 0.205
Si3 Si 0.661 0.325 0.308
Si4 Si 0.958 0.329 0.903
Si5 Si 0.339 0.675 0.692
Si6 Si 0.042 0.671 0.097
# E_form (uncorrected) (kJ per mole of atoms): -29.5
# Size of the total moment (μB per atom): 0.000
# Relative energy among the computed polymorphs (eV/atom): 0.000